Entry 1:
! PBE NdCuSnPt3, relaxed; values from VASP
&SYSTEM
  ibrav = 0, nat = 12, ntyp = 4
/
ATOMIC_SPECIES
Nd 144.24 Nd.upf
Cu 63.55 Cu.upf
Sn 118.71 Sn.upf
Pt 195.08 Pt.upf
ATOMIC_POSITIONS angstrom
Nd 2.864 3.847 5.520
Nd 2.864 -3.847 1.840
Cu 2.864 0.948 5.520
Cu 2.864 -0.948 1.840
Sn 2.864 4.391 1.840
Sn 2.864 -4.391 5.520
Pt 1.430 0.000 0.000
Pt 1.430 0.000 3.680
Pt 2.864 1.775 1.840
Pt 2.864 -1.775 5.520
Pt 4.298 0.000 0.000
Pt 4.298 0.000 3.680
CELL_PARAMETERS angstrom
2.864 -5.895 0.000
2.864 5.895 0.000
0.000 0.000 7.360
! DFT formation energy (eV/atom): -0.5347

---

Entry 2:
! PBE TbSm, relaxed; values from VASP
&SYSTEM
  ibrav = 0, nat = 4, ntyp = 2
/
ATOMIC_SPECIES
Tb 158.93 Tb.upf
Sm 150.36 Sm.upf
ATOMIC_POSITIONS angstrom
Tb 1.106 0.000 1.328
Tb 10.332 0.000 2.211
Sm 4.520 0.000 0.398
Sm 6.918 0.000 3.141
CELL_PARAMETERS angstrom
6.264 -2.978 0.000
6.264 2.978 0.000
-1.090 0.000 3.539
! DFT formation energy (eV/atom): 0.1199

---

Q: What is the DFT formation energy in the second record?
A: 0.1199 eV/atom